No. 1
TlNi2Hg2 (PBE, optimized geometry); distance to the lowest polymorph of the same formula = 62.3 meV per atom; space group = I4/mmm; final energy = -26.3 eV for the cell shown
1.0
3.403 0.000 0.000
0.000 3.403 0.000
0.000 0.000 18.088
Tl Ni Hg
2 4 4
direct
0.000 0.000 0.000
0.500 0.500 0.500
0.000 0.500 0.250
0.000 0.500 0.750
0.500 0.000 0.250
0.500 0.000 0.750
0.000 0.000 0.367
0.000 0.000 0.633
0.500 0.500 0.133
0.500 0.500 0.867



No. 2
TlNiHg (PBE, optimized geometry); distance to the lowest polymorph of the same formula = 54.3 meV per atom; space group = I4mm; final energy = -15.2 eV for the cell shown
1.0
3.190 0.000 0.000
0.000 3.190 0.000
0.000 0.000 12.059
Tl Ni Hg
2 2 2
direct
0.000 0.000 0.000
0.500 0.500 0.500
0.000 0.000 0.649
0.500 0.500 0.149
0.000 0.000 0.279
0.500 0.500 0.779



No. 3
TlNiHg (PBE, optimized geometry); distance to the lowest polymorph of the same formula = 99.9 meV per atom; space group = P3m1; final energy = -7.5 eV for the cell shown
1.0
3.379 0.000 0.000
-1.690 2.927 0.000
0.000 0.000 6.398
Tl Ni Hg
1 1 1
direct
0.000 0.000 0.000
0.667 0.333 0.704
0.333 0.667 0.417